Entry from Alexandria via LeMat-Bulk: crystalline CdIrRu2 at its relaxed geometry (PBE-GGA).

Lattice parameters (Å, degrees): 4.4658 4.4658 4.4658 60.00 60.00 60.00
Last column: magnetic moment on the atom in μB.
Sites, in units of the cell vectors:
Cd 0.5000 0.5000 0.5000  0.01
Ir 0.7500 0.7500 0.7500  0.32
Ru 0.0000 0.0000 0.0000  1.34
Ru 0.2500 0.2500 0.2500  0.44

Summary:
Calculated total energy in eV per atom: -6.539



Entry from Alexandria via LeMat-Bulk: crystalline CdIrRu2 at its relaxed geometry (PBE-GGA).

Lattice parameters (Å, degrees): 9.3585 9.3585 9.3585 17.07 17.07 17.07
Sites, in units of the cell vectors:
Cd 0.2500 0.2500 0.2500
Ir 0.7500 0.7500 0.7500
Ru 0.0055 0.0055 0.0055
Ru 0.4945 0.4945 0.4945

Summary:
Calculated total energy in eV per atom: -6.849



Entry from Alexandria via LeMat-Bulk: crystalline CdIrRu2 at its relaxed geometry (PBE-GGA).

Lattice parameters (Å, degrees): 2.7880 2.7880 7.9634 90.00 90.00 90.00
Sites, in units of the cell vectors:
Cd 0.0000 0.0000 0.4984
Ir 0.5000 0.5000 0.7728
Ru 0.0000 0.0000 0.0050
Ru 0.5000 0.5000 0.2238

Summary:
Calculated total energy in eV per atom: -6.921



Entry from Alexandria via LeMat-Bulk: crystalline CdIrRu2 at its relaxed geometry (PBE-GGA).

Lattice parameters (Å, degrees): 7.3081 7.3081 5.8119 51.04 51.04 90.00
Sites, in units of the cell vectors:
Ru 0.6721 0.1250 0.2500
Ru 0.0779 0.6250 0.2500
Ru 0.3750 0.3279 0.7500
Ru 0.8750 0.9221 0.7500
Ir 0.0000 0.0000 0.0000
Ir 0.7500 0.2500 0.5000
Cd 0.5000 0.5000 0.0000
Cd 0.2500 0.7500 0.5000

Summary:
Calculated total energy in eV per atom: -6.305



Entry from Alexandria via LeMat-Bulk: crystalline Cd2IrRu at its relaxed geometry (PBE-GGA).

Lattice parameters (Å, degrees): 2.8915 4.1550 5.6904 90.00 90.00 90.00
Last column: magnetic moment on the atom in μB.
Sites, in units of the cell vectors:
Cd 0.0000 0.0000 0.0010  -0.01
Cd 0.0000 0.0000 0.4990  -0.01
Ir 0.5000 0.5000 0.2500  0.26
Ru 0.5000 0.5000 0.7500  1.20

Summary:
Calculated total energy in eV per atom: -4.583



Entry from Alexandria via LeMat-Bulk: crystalline CdIrRu2 at its relaxed geometry (PBE-GGA).

Lattice parameters (Å, degrees): 2.8681 4.6636 4.6970 90.00 90.00 90.00
Last column: magnetic moment on the atom in μB.
Sites, in units of the cell vectors:
Cd 0.5000 0.0000 0.5000  0.00
Ir 0.0000 0.5000 0.5000  0.21
Ru 0.0000 0.0000 0.0000  0.69
Ru 0.5000 0.5000 0.0000  0.79

Summary:
Calculated total energy in eV per atom: -6.556



Q: What is the formula in the sixth record?
A: CdIrRu2



Q: Which of these has the highest calculated total energy?
A: Cd2IrRu



Q: Look up the calculated total energy of the second one.
A: -6.849 eV per atom



What did the first record say?
Entry from Alexandria via LeMat-Bulk: crystalline CdIrRu2 at its relaxed geometry (PBE-GGA).

Lattice parameters (Å, degrees): 4.4658 4.4658 4.4658 60.00 60.00 60.00
Last column: magnetic moment on the atom in μB.
Sites, in units of the cell vectors:
Cd 0.5000 0.5000 0.5000  0.01
Ir 0.7500 0.7500 0.7500  0.32
Ru 0.0000 0.0000 0.0000  1.34
Ru 0.2500 0.2500 0.2500  0.44

Summary:
Calculated total energy in eV per atom: -6.539